(1)
Computed, not measured: a relaxed ScBeAsN crystal at the PBE-GGA level of DFT.

Summary:
**Offset from the most stable computed form**: 0.0234 eV/atom
**Total magnetization**: 0.00 μB per cell
**Formation energy without anion corrections**: -88.1 kJ per mole of atoms

a = 3.1113 Å, b = 3.1113 Å, c = 5.8298 Å
α = 90.00°, β = 90.00°, γ = 90.00°
Last column: nearest neighbours and their distance in Å.
Space group P4mm (No. 99)
One atom of each set of equivalent atoms:
Sc (0.0000, 0.0000, 0.0000) x1  4 N 2.21
Be (0.5000, 0.5000, 0.3211) x1  1 N 1.62
As (0.0000, 0.0000, 0.5112) x1  4 Be 2.46
N (0.5000, 0.5000, 0.0432) x1  1 Be 1.62


(2)
Computed, not measured: a relaxed ScBeAsN crystal at the PBE-GGA level of DFT.

Summary:
**Offset from the most stable computed form**: 0.1322 eV/atom
**Total magnetization**: 0.27 μB per cell
**Formation energy without anion corrections**: -77.6 kJ per mole of atoms

a = 3.2307 Å, b = 2.9690 Å, c = 6.2625 Å
α = 90.00°, β = 90.25°, γ = 90.00°
Last column: nearest neighbours and their distance in Å.
Space group Pm (No. 6)
One atom of each set of equivalent atoms:
Sc (0.0000, 0.0000, 0.0000) x1  2 N 2.11
Be (0.4980, 0.5000, 0.6732) x1  2 N 1.64
As (0.5028, 0.5000, 0.3032) x1  1 Be 2.32
N (0.4980, 0.0000, 0.7841) x1  2 Be 1.64


(3)
Computed, not measured: a relaxed ScBeAsN crystal at the PBE-GGA level of DFT.

Summary:
**Offset from the most stable computed form**: 0.1055 eV/atom
**Total magnetization**: 0.00 μB per cell
**Formation energy without anion corrections**: -80.2 kJ per mole of atoms

a = 3.2751 Å, b = 2.8094 Å, c = 11.7116 Å
α = 90.00°, β = 90.00°, γ = 90.00°
Last column: nearest neighbours and their distance in Å.
Space group Amm2 (No. 38)
One atom of each set of equivalent atoms:
Sc (0.0000, 0.0000, 0.0000) x2  4 N 2.31, 2 Be 2.50
Be (0.5000, 0.0000, 0.1608) x2  2 N 1.76
As (0.0000, 0.0000, 0.2965) x2  2 Be 2.28
N (0.5000, 0.0000, 0.5697) x2  2 Be 1.76


(4)
Computed, not measured: a relaxed BeAsSeN2 crystal at the PBE-GGA level of DFT.

Summary:
**Offset from the most stable computed form**: 0.0000 eV/atom
**Total magnetization**: 0.58 μB per cell
**Formation energy without anion corrections**: 119.6 kJ per mole of atoms

a = 3.5631 Å, b = 3.5631 Å, c = 6.6121 Å
α = 90.00°, β = 90.00°, γ = 90.00°
Last column: nearest neighbours and their distance in Å.
Space group P4/mmm (No. 123)
One atom of each set of equivalent atoms:
Be (0.0000, 0.0000, 0.0000) x1  4 Se 2.52
As (0.5000, 0.5000, 0.5000) x1  4 N 1.78
Se (0.5000, 0.5000, 0.0000) x1  4 Be 2.52
N (0.0000, 0.5000, 0.5000) x2  2 As 1.78


(5)
Computed, not measured: a relaxed BeAsSe2N crystal at the PBE-GGA level of DFT.

Summary:
**Offset from the most stable computed form**: 0.0000 eV/atom
**Total magnetization**: 0.00 μB per cell
**Formation energy without anion corrections**: 51.3 kJ per mole of atoms

a = 5.0589 Å, b = 5.0589 Å, c = 3.1130 Å
α = 90.00°, β = 90.00°, γ = 90.00°
Last column: nearest neighbours and their distance in Å.
Space group P4/mmm (No. 123)
One atom of each set of equivalent atoms:
Be (0.0000, 0.0000, 0.0000) x1  2 N 1.56
As (0.5000, 0.5000, 0.5000) x1  8 Se 2.97, 2 As 3.11
Se (0.0000, 0.5000, 0.0000) x2  2 Be 2.53
N (0.0000, 0.0000, 0.5000) x1  2 Be 1.56


(6)
Computed, not measured: a relaxed BeAsSe2N crystal at the PBE-GGA level of DFT.

Summary:
**Offset from the most stable computed form**: 0.6083 eV/atom
**Total magnetization**: 0.00 μB per cell
**Formation energy without anion corrections**: 110.0 kJ per mole of atoms

a = 4.4940 Å, b = 4.4940 Å, c = 4.1444 Å
α = 90.00°, β = 90.00°, γ = 90.00°
Last column: nearest neighbours and their distance in Å.
Space group P4/mmm (No. 123)
One atom of each set of equivalent atoms:
Be (0.0000, 0.0000, 0.0000) x1  8 Se 3.06, 4 As 3.18
As (0.5000, 0.5000, 0.0000) x1  2 N 2.07
Se (0.0000, 0.5000, 0.5000) x2  2 N 2.25
N (0.5000, 0.5000, 0.5000) x1  2 As 2.07, 4 Se 2.25


(7)
Computed, not measured: a relaxed BeAsSe2N crystal at the PBE-GGA level of DFT.

Summary:
**Offset from the most stable computed form**: 0.5643 eV/atom
**Total magnetization**: 0.00 μB per cell
**Formation energy without anion corrections**: 105.7 kJ per mole of atoms

a = 5.1004 Å, b = 5.1004 Å, c = 3.5871 Å
α = 90.00°, β = 90.00°, γ = 90.00°
Last column: nearest neighbours and their distance in Å.
Space group P4/mmm (No. 123)
One atom of each set of equivalent atoms:
Be (0.0000, 0.0000, 0.0000) x1  8 Se 3.12
As (0.5000, 0.5000, 0.5000) x1  2 N 1.79
Se (0.0000, 0.5000, 0.5000) x2  2 As 2.55
N (0.5000, 0.5000, 0.0000) x1  2 As 1.79


(8)
Computed, not measured: a relaxed BeAsSeN2 crystal at the PBE-GGA level of DFT.

Summary:
**Offset from the most stable computed form**: 0.0144 eV/atom
**Total magnetization**: 0.99 μB per cell
**Formation energy without anion corrections**: 121.0 kJ per mole of atoms

a = 3.5812 Å, b = 3.5812 Å, c = 5.2280 Å
α = 90.00°, β = 90.00°, γ = 90.00°
Last column: nearest neighbours and their distance in Å.
Space group P4/mmm (No. 123)
One atom of each set of equivalent atoms:
Be (0.0000, 0.0000, 0.0000) x1  4 N 1.79
As (0.5000, 0.5000, 0.5000) x1  4 Se 2.53
Se (0.0000, 0.0000, 0.5000) x1  4 As 2.53, 2 Be 2.61
N (0.0000, 0.5000, 0.0000) x2  2 Be 1.79


(9)
Computed, not measured: a relaxed Sr2BeAsN crystal at the PBE-GGA level of DFT.

Summary:
**Total magnetization**: 0.00 μB per cell
**Formation energy without anion corrections**: -92.8 kJ per mole of atoms

a = 6.6152 Å, b = 3.9351 Å, c = 8.6101 Å
α = 90.00°, β = 108.91°, γ = 90.00°
Last column: nearest neighbours and their distance in Å.
Space group P2_1/m (No. 11)
One atom of each set of equivalent atoms:
Sr (0.1981, 0.2500, 0.3828) x2  2 N 2.65
Sr (0.2111, 0.2500, 0.9653) x2  3 N 2.56-2.70
Be (0.4451, 0.7500, 0.2408) x2  1 N 1.56
As (0.3443, 0.7500, 0.7053) x2  2 Be 2.37
N (0.1951, 0.7500, 0.1752) x2  1 Be 1.56


(10)
Computed, not measured: a relaxed BeTlAs2N crystal at the PBE-GGA level of DFT.

Summary:
**Total magnetization**: 0.00 μB per cell
**Formation energy without anion corrections**: 48.1 kJ per mole of atoms

a = 5.3675 Å, b = 5.3675 Å, c = 3.0783 Å
α = 90.00°, β = 90.00°, γ = 90.00°
Last column: nearest neighbours and their distance in Å.
Space group P4/mmm (No. 123)
One atom of each set of equivalent atoms:
Be (0.0000, 0.0000, 0.0000) x1  2 N 1.54
Tl (0.5000, 0.5000, 0.5000) x1  2 Tl 3.08, 8 As 3.09
As (0.0000, 0.5000, 0.0000) x2  2 Be 2.68
N (0.0000, 0.0000, 0.5000) x1  2 Be 1.54


(11)
Computed, not measured: a relaxed BeAs2WN crystal at the PBE-GGA level of DFT.

Summary:
**Total magnetization**: 0.00 μB per cell
**Formation energy without anion corrections**: 76.4 kJ per mole of atoms

a = 4.9345 Å, b = 4.9345 Å, c = 2.9150 Å
α = 90.00°, β = 90.00°, γ = 90.00°
Last column: nearest neighbours and their distance in Å.
Space group P4/mmm (No. 123)
One atom of each set of equivalent atoms:
Be (0.0000, 0.0000, 0.0000) x1  2 N 1.46
As (0.0000, 0.5000, 0.0000) x2  2 Be 2.47
W (0.5000, 0.5000, 0.5000) x1  8 As 2.87, 2 W 2.91
N (0.0000, 0.0000, 0.5000) x1  2 Be 1.46


(12)
Computed, not measured: a relaxed Y2BeAsN crystal at the PBE-GGA level of DFT.

Summary:
**Total magnetization**: 0.00 μB per cell
**Formation energy without anion corrections**: -93.1 kJ per mole of atoms

a = 4.9223 Å, b = 4.9223 Å, c = 3.4634 Å
α = 90.00°, β = 90.00°, γ = 90.00°
Last column: nearest neighbours and their distance in Å.
Space group P4/mmm (No. 123)
One atom of each set of equivalent atoms:
Y (0.0000, 0.5000, 0.0000) x2  2 N 2.46
Be (0.0000, 0.0000, 0.5000) x1  2 N 1.73
As (0.5000, 0.5000, 0.5000) x1  8 Y 3.01
N (0.0000, 0.0000, 0.0000) x1  2 Be 1.73


For the records above, the corresponding energy values read -6.67, -6.56, -6.59, -4.46, -4.20, -3.59, -3.64, -4.45, -4.97, -4.24, -6.07, -6.89 eV/atom.